[1]
# Cs2PuS2Br2

An optimized crystal structure of Cs2PuS2Br2 (PBE, Alexandria).

Summary:
Calculated volume   37.19 Å³ per atom
Formation energy (no corrections)   -1566 meV per atom

Cell: 5.281 5.281 18.672 Å, 90.00 90.00 90.00°
Space group I4/mmm (No. 139)
Symmetry-distinct sites (fractional):
Cs 0.000 0.000 0.139 x4
Pu 0.000 0.000 0.500 x2
S 0.000 0.500 0.000 x4
Br 0.000 0.000 0.343 x4

[2]
# Cs2PuScBr6

An optimized crystal structure of Cs2PuScBr6 (PBE, Alexandria).

Summary:
Calculated volume   36.67 Å³ per atom
Formation energy (no corrections)   -1589 meV per atom

Cell: 8.035 11.362 8.034 Å, 90.00 90.00 90.00°
Space group Pmmn (No. 59, origin choice 2)
Symmetry-distinct sites (fractional):
Cs 0.250 0.000 0.250 x4
Pu 0.250 0.250 0.749 x2
Sc 0.250 0.750 0.751 x2
Br 0.009 0.750 0.510 x4
Br 0.009 0.750 0.992 x4
Br 0.250 0.509 0.750 x4

[3]
# CsPuScBr6

An optimized crystal structure of CsPuScBr6 (PBE, Alexandria).

Summary:
Calculated volume   42.25 Å³ per atom
Formation energy (no corrections)   -1672 meV per atom

Cell: 7.3201 7.3201 8.1935 Å, 90.00 90.00 120.00°
Space group P312 (No. 149)
Symmetry-distinct sites (fractional):
Cs 0.0000 0.0000 0.0000 x1
Pu 0.3333 0.6667 0.5000 x1
Sc 0.6667 0.3333 0.5000 x1
Br 0.3795 0.0259 0.6967 x6

[4]
# CsPuSeBr2

An optimized crystal structure of CsPuSeBr2 (PBE, Alexandria).

Summary:
Calculated volume   36.72 Å³ per atom
Formation energy (no corrections)   -1524 meV per atom

Cell: 4.240 20.497 8.448 Å, 90.00 90.00 90.00°
Space group Cmcm (No. 63)
Symmetry-distinct sites (fractional):
Cs 0.000 0.210 0.250 x4
Pu 0.000 0.500 0.000 x4
Se 0.000 0.007 0.250 x4
Br 0.000 0.361 0.026 x8

[5]
# CsSmPuBr6

An optimized crystal structure of CsSmPuBr6 (PBE, Alexandria).

Summary:
Calculated volume   47.76 Å³ per atom
Formation energy (no corrections)   -1658 meV per atom

Cell: 10.441 10.819 15.221 Å, 90.00 90.00 90.00°
Space group Imma (No. 74)
Symmetry-distinct sites (fractional):
Cs 0.000 0.250 0.081 x4
Sm 0.000 0.000 0.500 x4
Pu 0.250 0.250 0.750 x4
Br 0.000 0.250 0.434 x4
Br 0.000 0.250 0.841 x4
Br 0.202 0.042 0.624 x16

[6]
# Cs3PuSn2Br9

An optimized crystal structure of Cs3PuSn2Br9 (PBE, Alexandria).

Summary:
Calculated volume   41.66 Å³ per atom
Formation energy (no corrections)   -1335 meV per atom

Cell: 8.3908 8.3908 10.2498 Å, 90.00 90.00 120.00°
Space group P-3m1 (No. 164)
Symmetry-distinct sites (fractional):
Cs 0.0000 0.0000 0.0000 x1
Cs 0.3333 0.6667 0.6726 x2
Pu 0.0000 0.0000 0.5000 x1
Sn 0.3333 0.6667 0.1630 x2
Br 0.0000 0.5000 0.0000 x3
Br 0.1646 0.3293 0.3350 x6

[7]
# CsPuSnBr6

An optimized crystal structure of CsPuSnBr6 (PBE, Alexandria).

Summary:
Calculated volume   47.38 Å³ per atom
Formation energy (no corrections)   -1297 meV per atom

Cell: 10.463 10.796 15.101 Å, 90.00 90.00 90.00°
Space group Imma (No. 74)
Symmetry-distinct sites (fractional):
Cs 0.000 0.250 0.081 x4
Pu 0.000 0.000 0.500 x4
Sn 0.250 0.250 0.750 x4
Br 0.000 0.250 0.433 x4
Br 0.000 0.250 0.840 x4
Br 0.204 0.039 0.624 x16

[8]
# Cs2PuSnBr6

An optimized crystal structure of Cs2PuSnBr6 (PBE, Alexandria).

Summary:
Calculated volume   41.95 Å³ per atom
Formation energy (no corrections)   -1388 meV per atom

Cell: 8.408 11.880 8.400 Å, 90.00 90.00 90.00°
Space group Pmmn (No. 59, origin choice 2)
Symmetry-distinct sites (fractional):
Cs 0.250 0.001 0.249 x4
Pu 0.250 0.250 0.753 x2
Sn 0.250 0.750 0.747 x2
Br 0.002 0.250 0.507 x4
Br 0.005 0.250 0.001 x4
Br 0.250 0.003 0.752 x4

[9]
# Cs4PuSn3Br12

An optimized crystal structure of Cs4PuSn3Br12 (PBE, Alexandria).

Summary:
Calculated volume   41.46 Å³ per atom
Formation energy (no corrections)   -1305 meV per atom

Cell: 11.837 11.837 11.837 Å, 90.00 90.00 90.00°
Space group Im-3m (No. 229)
Symmetry-distinct sites (fractional):
Cs 0.250 0.250 0.250 x8
Pu 0.000 0.000 0.000 x2
Sn 0.000 0.000 0.500 x6
Br 0.000 0.000 0.247 x12
Br 0.000 0.250 0.500 x12

[10]
# CsSr2PuBr8

An optimized crystal structure of CsSr2PuBr8 (PBE, Alexandria).

Summary:
Calculated volume   41.52 Å³ per atom
Formation energy (no corrections)   -1830 meV per atom

Cell: 7.135 7.212 9.683 Å, 89.97 89.93 89.69°
Space group P-1 (No. 2)
Symmetry-distinct sites (fractional):
Cs 0.000 0.000 0.000 x1
Sr 0.500 0.500 0.250 x2
Pu 0.000 0.000 0.500 x1
Br 0.245 0.842 0.703 x2
Br 0.246 0.843 0.296 x2
Br 0.256 0.325 0.500 x2
Br 0.265 0.400 0.000 x2

[11]
# Cs3SrPu2Br9

An optimized crystal structure of Cs3SrPu2Br9 (PBE, Alexandria).

Summary:
Calculated volume   42.18 Å³ per atom
Formation energy (no corrections)   -1698 meV per atom

Cell: 8.4163 8.4163 10.3133 Å, 90.00 90.00 120.00°
Space group P-3m1 (No. 164)
Symmetry-distinct sites (fractional):
Cs 0.0000 0.0000 0.0000 x1
Cs 0.3333 0.6667 0.6691 x2
Sr 0.0000 0.0000 0.5000 x1
Pu 0.3333 0.6667 0.1622 x2
Br 0.0000 0.5000 0.0000 x3
Br 0.1679 0.3358 0.3302 x6

[12]
# CsSrPu2Br8

An optimized crystal structure of CsSrPu2Br8 (PBE, Alexandria).

Summary:
Calculated volume   40.96 Å³ per atom
Formation energy (no corrections)   -1689 meV per atom

Cell: 7.131 7.400 9.319 Å, 90.01 90.10 91.50°
Space group P-1 (No. 2)
Symmetry-distinct sites (fractional):
Cs 0.000 0.000 0.000 x1
Sr 0.000 0.000 0.500 x1
Pu 0.500 0.500 0.254 x2
Br 0.267 0.171 0.282 x2
Br 0.268 0.170 0.718 x2
Br 0.269 0.651 0.500 x2
Br 0.274 0.608 0.000 x2

[13]
# Cs2SrPuBr6

An optimized crystal structure of Cs2SrPuBr6 (PBE, Alexandria).

Summary:
Calculated volume   41.63 Å³ per atom
Formation energy (no corrections)   -1783 meV per atom

Cell: 8.267 8.491 14.451 Å, 90.00 124.83 90.00°
Space group P2_1/c (No. 14)
Symmetry-distinct sites (fractional):
Cs 0.237 0.052 0.250 x4
Sr 0.500 0.000 0.000 x2
Pu 0.000 0.000 0.500 x2
Br 0.167 0.209 0.963 x4
Br 0.255 0.706 0.963 x4
Br 0.319 0.016 0.748 x4

[14]
# CsPuTeBr2

An optimized crystal structure of CsPuTeBr2 (PBE, Alexandria).

Summary:
Calculated volume   40.56 Å³ per atom
Formation energy (no corrections)   -1414 meV per atom

Cell: 4.533 20.021 8.939 Å, 90.00 90.00 90.00°
Space group Cmcm (No. 63)
Symmetry-distinct sites (fractional):
Cs 0.000 0.208 0.250 x4
Pu 0.000 0.500 0.000 x4
Te 0.000 0.005 0.250 x4
Br 0.000 0.358 0.019 x8

[15]
# CsPuTiBr6

An optimized crystal structure of CsPuTiBr6 (PBE, Alexandria).

Summary:
Calculated volume   41.15 Å³ per atom
Formation energy (no corrections)   -1412 meV per atom

Cell: 10.062 10.349 14.226 Å, 90.00 90.00 90.00°
Space group Imma (No. 74)
Symmetry-distinct sites (fractional):
Cs 0.000 0.250 0.047 x4
Pu 0.000 0.000 0.500 x4
Ti 0.250 0.250 0.750 x4
Br 0.000 0.250 0.404 x4
Br 0.000 0.250 0.787 x4
Br 0.228 0.067 0.620 x16

[16]
# Cs2PuTlBr6

An optimized crystal structure of Cs2PuTlBr6 (PBE, Alexandria).

Summary:
Calculated volume   45.35 Å³ per atom
Formation energy (no corrections)   -1521 meV per atom

Cell: 8.313 12.102 9.015 Å, 90.00 90.00 90.00°
Space group Pmmn (No. 59, origin choice 2)
Symmetry-distinct sites (fractional):
Cs 0.250 0.031 0.201 x4
Pu 0.250 0.750 0.784 x2
Tl 0.250 0.250 0.711 x2
Br 0.006 0.250 0.427 x4
Br 0.009 0.750 0.014 x4
Br 0.250 0.513 0.789 x4

[17]
# CsTmPuBr6

An optimized crystal structure of CsTmPuBr6 (PBE, Alexandria).

Summary:
Calculated volume   44.01 Å³ per atom
Formation energy (no corrections)   -1724 meV per atom

Cell: 7.5181 7.5181 8.0910 Å, 90.00 90.00 120.00°
Space group P312 (No. 149)
Symmetry-distinct sites (fractional):
Cs 0.0000 0.0000 0.0000 x1
Tm 0.6667 0.3333 0.5000 x1
Pu 0.3333 0.6667 0.5000 x1
Br 0.3820 0.0207 0.7037 x6

[18]
# CsPuUBr6

An optimized crystal structure of CsPuUBr6 (PBE, Alexandria).

Summary:
Calculated volume   45.20 Å³ per atom
Formation energy (no corrections)   -1472 meV per atom

Cell: 7.6515 7.6515 16.0475 Å, 90.00 90.00 120.00°
Space group P-31c (No. 163)
Symmetry-distinct sites (fractional):
Cs 0.0000 0.0000 0.0000 x2
Pu 0.3333 0.6667 0.2500 x2
U 0.3333 0.6667 0.7500 x2
Br 0.0046 0.3782 0.6434 x12